Record 1
## CoRuSe2 (PBE)

Data for an optimized crystal structure of CoRuSe2.

Properties
The uncorrected formation energy is 0.45 eV per atom. The uncorrected energy is -21.57 eV per formula unit. Its space-group type is Fmmm (69).

abc: 4.216 4.728 4.215
angles: 66.30 84.37 113.70
Fractional positions:
Co 0.000 0.500 0.500
Ru 0.500 0.500 0.000
Se 0.000 0.000 0.000
Se 0.500 0.000 0.500

***

Record 2
## TiNiMo (PBE)

Data for an optimized crystal structure of TiNiMo.

Properties
The uncorrected energy is -24.30 eV per formula unit. Its space-group type is P3m1 (156). The formation energy comes out at 0.07 eV per atom.

abc: 2.592 4.381 4.381
angles: 120.00 90.00 90.00
Fractional positions:
Ni 0.340 0.667 0.333
Mo 0.645 0.333 0.667
Ti 0.015 0.000 0.000

***

Record 3
## Si2BP (PBE)

Data for an optimized crystal structure of Si2BP.

Properties
The uncorrected formation energy is -0.16 eV per atom. The uncorrected energy is -23.59 eV per formula unit. Its space-group type is I-42d (122).

abc: 4.986 4.986 6.078
angles: 65.79 65.79 90.00
Fractional positions:
P 0.000 0.000 0.000
P 0.750 0.250 0.500
Si 0.576 0.125 0.250
Si 0.174 0.625 0.250
Si 0.375 0.424 0.750
Si 0.875 0.826 0.750
B 0.500 0.500 0.000
B 0.250 0.750 0.500

***

Record 4
## LiInOs (PBE)

Data for an optimized crystal structure of LiInOs.

Properties
The uncorrected energy is -15.07 eV per formula unit. Its space-group type is Imm2 (44). The formation energy comes out at 0.27 eV per atom.

abc: 4.850 4.850 4.850
angles: 147.44 127.08 63.53
Fractional positions:
In 0.004 0.004 0.000
Li 0.331 0.331 0.000
Os 0.665 0.665 0.000

***

Record 5
## CaCo2Hg (PBE)

Data for an optimized crystal structure of CaCo2Hg.

Properties
The uncorrected energy is -14.91 eV per formula unit. Its space-group type is P4/mmm (123). The formation energy comes out at 0.40 eV per atom.

abc: 3.499 3.499 6.222
angles: 90.00 90.00 90.00
Fractional positions:
Ca 0.500 0.500 0.750
Co 0.000 0.000 0.066
Co 0.000 0.000 0.434
Hg 0.500 0.500 0.250

***

Record 6
## BeAgC2O6 (PBE)

Data for an optimized crystal structure of BeAgC2O6.

Properties
The uncorrected formation energy is -1.20 eV per atom. The uncorrected energy is -66.75 eV per formula unit. Its space-group type is R-3 (148).

abc: 4.630 4.630 5.783
angles: 66.40 66.40 60.00
Fractional positions:
Be 0.500 0.500 0.500
Ag 0.000 0.000 0.000
C 0.764 0.764 0.708
C 0.236 0.236 0.292
O 0.065 0.513 0.713
O 0.708 0.065 0.713
O 0.487 0.292 0.287
O 0.935 0.487 0.287
O 0.292 0.935 0.287
O 0.513 0.708 0.713

***

Record 7
## TbScBe2 (PBE)

Data for an optimized crystal structure of TbScBe2.

Properties
The uncorrected energy is -18.24 eV per formula unit. Its space-group type is P4/mmm (123). The formation energy comes out at 0.04 eV per atom.

abc: 3.305 3.305 6.572
angles: 90.00 90.00 90.00
Fractional positions:
Sc 0.500 0.500 0.000
Be 0.000 0.000 0.792
Be 0.000 0.000 0.208
Tb 0.500 0.500 0.500

***

Record 8
## MgTc2Os (PBE)

Data for an optimized crystal structure of MgTc2Os.

Properties
The uncorrected energy is -32.77 eV per formula unit. Its space-group type is Pm (6). The formation energy comes out at 0.20 eV per atom.

abc: 4.437 2.759 4.863
angles: 89.80 90.00 90.00
Fractional positions:
Mg 0.000 0.622 0.469
Os 0.500 0.628 0.777
Tc 0.000 0.124 0.977
Tc 0.500 0.125 0.277

***

Record 9
## BaHg3Pd2 (PBE)

Data for an optimized crystal structure of BaHg3Pd2.

Properties
The uncorrected energy is -15.49 eV per formula unit. Its space-group type is Cmcm (63). The formation energy comes out at -0.38 eV per atom.

abc: 5.918 7.111 7.111
angles: 98.12 90.00 90.00
Fractional positions:
Ba 0.250 0.340 0.340
Ba 0.750 0.660 0.660
Hg 0.750 0.453 0.091
Hg 0.750 0.091 0.453
Hg 0.250 0.547 0.909
Hg 0.750 0.035 0.035
Hg 0.250 0.965 0.965
Hg 0.250 0.909 0.547
Pd 0.500 0.775 0.225
Pd 0.000 0.775 0.225
Pd 0.000 0.225 0.775
Pd 0.500 0.225 0.775

***

Record 10
## BaTc2IrC (PBE)

Data for an optimized crystal structure of BaTc2IrC.

Properties
The uncorrected energy is -22.31 eV per formula unit. Its space-group type is P4/mmm (123). The formation energy comes out at 3.69 eV per atom.

abc: 5.043 4.347 5.043
angles: 90.00 90.00 90.00
Fractional positions:
C 0.000 0.500 0.000
Ir 0.500 0.500 0.500
Ba 0.000 0.000 0.000
Tc 0.000 0.000 0.500
Tc 0.500 0.000 0.000

***

Record 11
## CaLuIn2 (PBE)

Data for an optimized crystal structure of CaLuIn2.

Properties
The uncorrected energy is -13.75 eV per formula unit. Its space-group type is P4/mmm (123). The formation energy comes out at -0.44 eV per atom.

abc: 3.756 3.756 7.619
angles: 90.00 90.00 90.00
Fractional positions:
Ca 0.500 0.500 0.500
Lu 0.500 0.500 0.000
In 0.000 0.000 0.763
In 0.000 0.000 0.237

***

Record 12
## Zn2PIr (PBE)

Data for an optimized crystal structure of Zn2PIr.

Properties
The uncorrected energy is -17.09 eV per formula unit. Its space-group type is P4mm (99). The formation energy comes out at -0.07 eV per atom.

abc: 2.849 2.849 7.747
angles: 90.00 90.00 90.00
Fractional positions:
Zn 0.000 0.000 0.015
Zn 0.500 0.500 0.267
P 0.500 0.500 0.697
Ir 0.000 0.000 0.521